First-principles (PBEsol) data for crystalline Zn2CdGeSe at its relaxed geometry, as listed in Alexandria via LeMat-Bulk.

Lattice parameters (Å, degrees): 4.626 4.626 5.170 90.00 90.00 90.00
Element x y z (fractional)
Zn: 0.000 0.500 0.000
Zn: 0.500 0.000 0.000
Ge: 0.000 0.000 0.000
Cd: 0.000 0.000 0.500
Se: 0.500 0.500 0.500



First-principles (PBEsol) data for crystalline Sm2CdGe2 at its relaxed geometry, as listed in Alexandria via LeMat-Bulk.

Lattice parameters (Å, degrees): 4.232 7.308 7.308 90.00 90.00 90.00
Element x y z (fractional)
Ge: 0.000 0.379 0.121
Ge: 0.000 0.879 0.379
Ge: 0.000 0.621 0.879
Ge: 0.000 0.121 0.621
Sm: 0.500 0.322 0.822
Sm: 0.500 0.678 0.178
Sm: 0.500 0.178 0.322
Sm: 0.500 0.822 0.678
Cd: 0.000 0.500 0.500
Cd: 0.000 0.000 0.000



First-principles (PBEsol) data for crystalline SrCdGe at its relaxed geometry, as listed in Alexandria via LeMat-Bulk.

Lattice parameters (Å, degrees): 4.628 7.721 8.279 90.00 90.00 90.00
Element x y z (fractional)
Sr: 0.750 0.990 0.807
Sr: 0.250 0.010 0.193
Sr: 0.750 0.490 0.693
Sr: 0.250 0.510 0.307
Cd: 0.750 0.838 0.427
Cd: 0.750 0.338 0.073
Cd: 0.250 0.162 0.573
Cd: 0.250 0.662 0.927
Ge: 0.250 0.783 0.605
Ge: 0.750 0.717 0.105
Ge: 0.250 0.283 0.895
Ge: 0.750 0.217 0.395



First-principles (PBEsol) data for crystalline CdTcGe3 at its relaxed geometry, as listed in Alexandria via LeMat-Bulk.

Lattice parameters (Å, degrees): 4.789 4.789 4.789 90.00 90.00 90.00
Element x y z (fractional)
Tc: 0.000 0.000 0.000
Ge: 0.000 0.000 0.500
Ge: 0.500 0.000 0.000
Ge: 0.000 0.500 0.000
Cd: 0.500 0.500 0.500



First-principles (PBEsol) data for crystalline TiCdGe3 at its relaxed geometry, as listed in Alexandria via LeMat-Bulk.

Lattice parameters (Å, degrees): 4.874 4.874 4.874 90.00 90.00 90.00
Element x y z (fractional)
Ge: 0.000 0.000 0.500
Ge: 0.000 0.500 0.000
Ge: 0.500 0.000 0.000
Cd: 0.500 0.500 0.500
Ti: 0.000 0.000 0.000



First-principles (PBEsol) data for crystalline TiZnCd2Ge at its relaxed geometry, as listed in Alexandria via LeMat-Bulk.

Lattice parameters (Å, degrees): 4.834 4.902 4.902 90.00 90.00 90.00
Element x y z (fractional)
Ti: 0.500 0.000 0.000
Cd: 0.000 0.500 0.000
Cd: 0.000 0.000 0.500
Zn: 0.500 0.500 0.500
Ge: 0.000 0.000 0.000



First-principles (PBEsol) data for crystalline Tl2Cd2Ge at its relaxed geometry, as listed in Alexandria via LeMat-Bulk.

Lattice parameters (Å, degrees): 3.881 3.881 8.970 102.49 102.49 90.00
Element x y z (fractional)
Tl: 0.595 0.595 0.190
Tl: 0.405 0.405 0.810
Ge: 0.000 0.000 0.000
Cd: 0.250 0.750 0.500
Cd: 0.750 0.250 0.500



First-principles (PBEsol) data for crystalline Tm2CdGe2 at its relaxed geometry, as listed in Alexandria via LeMat-Bulk.

Lattice parameters (Å, degrees): 4.078 7.124 7.124 90.00 90.00 90.00
Element x y z (fractional)
Tm: 0.500 0.823 0.677
Tm: 0.500 0.677 0.177
Tm: 0.500 0.323 0.823
Tm: 0.500 0.177 0.323
Ge: 0.000 0.877 0.377
Ge: 0.000 0.123 0.623
Ge: 0.000 0.623 0.877
Ge: 0.000 0.377 0.123
Cd: 0.000 0.000 0.000
Cd: 0.000 0.500 0.500



First-principles (PBEsol) data for crystalline YCd2Ge2 at its relaxed geometry, as listed in Alexandria via LeMat-Bulk.

Lattice parameters (Å, degrees): 4.123 4.123 6.871 107.46 107.46 90.00
Element x y z (fractional)
Cd: 0.750 0.250 0.500
Cd: 0.250 0.750 0.500
Ge: 0.599 0.599 0.198
Ge: 0.401 0.401 0.802
Y: 0.000 0.000 0.000



First-principles (PBEsol) data for crystalline Hf3CdH at its relaxed geometry, as listed in Alexandria via LeMat-Bulk.

Lattice parameters (Å, degrees): 4.365 4.365 4.365 90.00 90.00 90.00
Element x y z (fractional)
Hf: 0.000 0.500 0.000
Hf: 0.500 0.000 0.000
Hf: 0.000 0.000 0.500
H: 0.000 0.000 0.000
Cd: 0.500 0.500 0.500



First-principles (PBEsol) data for crystalline Hf2CdH2 at its relaxed geometry, as listed in Alexandria via LeMat-Bulk.

Lattice parameters (Å, degrees): 3.670 3.670 5.485 109.54 109.54 90.00
Element x y z (fractional)
Hf: 0.342 0.342 0.683
Hf: 0.658 0.658 0.317
H: 0.750 0.250 0.500
H: 0.250 0.750 0.500
Cd: 0.000 0.000 0.000



First-principles (PBEsol) data for crystalline HfCdTeH2 at its relaxed geometry, as listed in Alexandria via LeMat-Bulk.

Lattice parameters (Å, degrees): 4.010 4.010 5.765 90.00 90.00 90.00
Element x y z (fractional)
Cd: 0.500 0.500 0.500
Te: 0.000 0.000 0.000
H: 0.000 0.500 0.000
H: 0.500 0.000 0.000
Hf: 0.000 0.000 0.500



Raw total energy / Ha/atom: -0.0867 -0.1852 -0.1167 -0.1902 -0.1671 -0.1047 -0.0827 -0.1811 -0.1512 -0.2721 -0.2231 -0.1389